VASP calculation (PBE+U) on an optimized crystal structure of GaWN2F. Values from VASP.

The structure in Quantum ESPRESSO input format:
```
&SYSTEM
  ibrav = 0, nat = 5, ntyp = 4
/
ATOMIC_SPECIES
Ga 69.72 Ga.upf
W 183.84 W.upf
N 14.01 N.upf
F 19.00 F.upf
CELL_PARAMETERS angstrom
3.960 0.000 0.000
0.000 3.960 0.000
0.000 0.000 3.677
ATOMIC_POSITIONS angstrom
Ga 0.000 0.000 0.000
W 1.980 1.980 1.838
N 0.000 1.980 0.000
N 1.980 0.000 0.000
F 0.000 0.000 1.838
```

Total energy in eV for the cell shown: -26.95
Total moment in μB/cell: 2.22
Crystal system: tetragonal
Space group: No. 123
DOS at the Fermi energy in states/eV/cell: 2.06
Theoretical density in g cm⁻³: 8.659